Here is a relaxed structure of Sr3TiMn2O9 from the Alexandria database. Energies are from PBE with a Hubbard U.

Calculated values
Raw total energy   -7.24 eV per atom
Space-group type   P-3m1 (164)
Size of the total moment   6.04 μB/cell
V   11.7 A^3/atom

Lattice parameters (Å, degrees): 5.496 5.496 6.734 90.00 90.00 120.00
Site moments in Bohr magnetons follow the coordinates.
Element x y z (fractional)
Sr1 0.333 0.667 0.674  0.01
Sr2 0.000 0.000 0.000  0.01
Sr3 0.667 0.333 0.326  0.01
Ti1 0.000 0.000 0.500  -0.03
Mn1 0.333 0.667 0.167  3.05
Mn2 0.667 0.333 0.833  3.05
O1 0.832 0.168 0.669  -0.04
O2 0.832 0.663 0.669  -0.04
O3 0.337 0.168 0.669  -0.04
O4 0.663 0.832 0.331  -0.04
O5 0.168 0.337 0.331  -0.04
O6 0.168 0.832 0.331  -0.04
O7 0.500 0.000 0.000  0.00
O8 0.000 0.500 0.000  0.00
O9 0.500 0.500 0.000  0.00

---

Here is a relaxed structure of Sr3TiMn2O8 from the Alexandria database. Energies are from PBE with a Hubbard U.

Calculated values
Raw total energy   -7.13 eV per atom
Space-group type   P-3m1 (164)
Size of the total moment   8.00 μB/cell
V   14.3 A^3/atom

Lattice parameters (Å, degrees): 5.629 5.629 7.278 90.00 90.00 120.00
Site moments in Bohr magnetons follow the coordinates.
Element x y z (fractional)
Sr1 0.333 0.667 0.632  0.01
Sr2 0.667 0.333 0.368  0.01
Sr3 0.000 0.000 0.000  0.00
Ti1 0.000 0.000 0.500  0.18
Mn1 0.333 0.667 0.201  3.95
Mn2 0.667 0.333 0.799  3.95
O1 0.333 0.667 0.950  -0.09
O2 0.667 0.333 0.050  -0.09
O3 0.162 0.838 0.337  -0.04
O4 0.838 0.162 0.663  -0.04
O5 0.162 0.323 0.337  -0.04
O6 0.838 0.677 0.663  -0.04
O7 0.677 0.838 0.337  -0.04
O8 0.323 0.162 0.663  -0.04

---

Here is a relaxed structure of Sr3Ti2MnO9 from the Alexandria database. Energies are from PBE with a Hubbard U.

Calculated values
Raw total energy   -7.65 eV per atom
Space-group type   P-3m1 (164)
Size of the total moment   3.01 μB/cell
V   12.0 A^3/atom

Lattice parameters (Å, degrees): 5.532 5.532 6.776 90.00 90.00 120.00
Site moments in Bohr magnetons follow the coordinates.
Element x y z (fractional)
Sr1 0.333 0.667 0.664  0.00
Sr2 0.000 0.000 0.000  0.00
Sr3 0.667 0.333 0.336  0.00
Ti1 0.333 0.667 0.169  -0.01
Ti2 0.667 0.333 0.831  -0.01
Mn1 0.000 0.000 0.500  3.04
O1 0.835 0.165 0.664  -0.02
O2 0.835 0.671 0.664  -0.02
O3 0.329 0.165 0.664  -0.02
O4 0.671 0.835 0.336  -0.02
O5 0.165 0.329 0.336  -0.02
O6 0.165 0.835 0.336  -0.02
O7 0.500 0.000 0.000  -0.01
O8 0.000 0.500 0.000  -0.01
O9 0.500 0.500 0.000  -0.01

---

Here is a relaxed structure of Sr2MnTlO5 from the Alexandria database. Energies are from PBE with a Hubbard U.

Calculated values
Raw total energy   -6.07 eV per atom
Space-group type   Cmc2_1 (36)
Size of the total moment   8.00 μB/cell
V   14.9 A^3/atom

Lattice parameters (Å, degrees): 3.515 7.001 11.287 90.00 90.00 104.54
Site moments in Bohr magnetons follow the coordinates.
Element x y z (fractional)
Sr1 0.850 0.701 0.808  0.00
Sr2 0.089 0.177 0.677  0.01
Sr3 0.150 0.299 0.308  0.00
Sr4 0.911 0.823 0.177  0.01
Mn1 0.526 0.053 0.944  3.88
Mn2 0.474 0.947 0.444  3.88
Tl1 0.787 0.573 0.528  0.01
Tl2 0.213 0.427 0.028  0.01
O1 0.384 0.767 0.991  -0.02
O2 0.670 0.340 0.896  -0.06
O3 0.487 0.974 0.780  -0.01
O4 0.270 0.541 0.665  0.00
O5 0.952 0.903 0.535  0.04
O6 0.616 0.233 0.491  -0.02
O7 0.330 0.660 0.396  -0.06
O8 0.513 0.026 0.280  -0.01
O9 0.730 0.459 0.165  0.00
O10 0.048 0.097 0.035  0.04